Entry 1:
La3BBr at its PBEsol-relaxed geometry, computed with meta-GGA SCAN.

**ΔE to the lowest computed polymorph**: 0 meV per atom
**Size of the total moment**: 2.000 μB/f.u.
**ΔE_f (raw)**: -0.245 eV/atom

Cell lengths 5.2733, 5.2733, 5.2733 Å; angles 90.00, 90.00, 90.00 degrees
Atoms (fractional coordinates):
B  0.0000  0.0000  0.0000
La  0.0000  0.0000  0.5000
La  0.5000  0.0000  0.0000
La  0.0000  0.5000  0.0000
Br  0.5000  0.5000  0.5000

---

Entry 2:
BaTaSe2 at its PBEsol-relaxed geometry, computed with meta-GGA SCAN.

**ΔE to the lowest computed polymorph**: 50 meV per atom
**Size of the total moment**: 0.001 μB/f.u.
**ΔE_f (raw)**: -0.793 eV/atom

Cell lengths 3.6563, 5.8334, 5.8334 Å; angles 67.12, 71.74, 71.74 degrees
Atoms (fractional coordinates):
Ba  0.5000  0.0000  0.0000
Se  0.3038  0.6962  0.6962
Se  0.6962  0.3038  0.3038
Ta  0.0000  0.5000  0.5000